Crystalline TcMoH at its relaxed geometry, computed with PBE.

**Size of the total moment**: 0.00 μB per formula unit
**E above lowest polymorph**: 0 meV per atom
**Calculated volume**: 129.5 Å³/cell

POSCAR file:
```
TcMoH
1.0
4.944 0.000 0.000
0.000 5.702 0.000
0.000 0.000 4.592
Tc Mo H
4 4 4
Cartesian
0.398 0.721 0.000
2.074 3.572 2.296
2.870 2.130 0.000
4.546 4.981 2.296
0.446 3.556 4.550
2.026 0.705 2.254
2.918 4.997 4.550
4.498 2.146 2.254
1.225 2.132 3.393
1.247 4.983 1.097
3.697 0.719 3.393
3.719 3.570 1.097
```